Tb5PmN6: optimized geometry, PBE.

ΔE_f (raw) in eV per atom: -1.620
SG: No. 12
DOS(E_F) in states/eV per cell: 0.347

Cell and atoms, written as POSCAR:
```
Tb5PmN6
1.0
-4.996 1.961 2.882
-2.111 -4.412 3.634
1.936 -0.386 5.765
N Tb Pm
6 5 1
direct
0.748 0.084 0.338
0.252 0.578 0.338
0.252 0.254 0.000
0.748 0.746 0.000
0.748 0.422 0.662
0.252 0.916 0.662
0.500 0.167 0.665
0.000 0.333 0.333
0.500 0.500 0.000
0.000 0.667 0.667
0.500 0.833 0.335
0.000 0.000 0.000
```

***

Y2TmThBi5: optimized geometry, PBE.

SG: No. 123
DOS(E_F) in states/eV per cell: 7.252
Formation energy in kJ per mole of atoms: 20.2

Cell and atoms, written as POSCAR:
```
Y2TmThBi5
1.0
-2.217 3.854 -3.622
-3.710 1.665 4.043
7.791 8.075 3.823
Y Tm Th Bi
2 1 1 5
direct
0.500 0.500 0.270
0.500 0.500 0.730
0.000 0.000 0.000
0.000 0.000 0.500
0.000 0.500 0.500
0.500 0.000 0.500
0.000 0.000 0.759
0.000 0.000 0.241
0.500 0.500 0.000
```

***

CsK3Ir: optimized geometry, PBE.

SG: No. 221
DOS(E_F) in states/eV per cell: 14.482
Formation energy in kJ per mole of atoms: 58.3

Cell and atoms, written as POSCAR:
```
CsK3Ir
1.0
6.390 0.000 0.000
0.000 6.390 0.000
0.000 0.000 6.390
Cs K Ir
1 3 1
direct
0.500 0.500 0.500
0.000 0.500 0.000
0.000 0.000 0.500
0.500 0.000 0.000
0.000 0.000 0.000
```

***

LaGe2O2: optimized geometry, PBE.

ΔE_f (raw) in eV per atom: -0.695
SG: No. 127
DOS(E_F) in states/eV per cell: 7.404
Distance to the lowest polymorph of the same formula in meV/atom: 99

Cell and atoms, written as POSCAR:
```
LaGe2O2
1.0
-3.475 -0.703 6.637
-1.331 -7.259 -1.466
2.930 -0.829 1.446
Ge O La
4 4 2
direct
0.372 0.872 0.000
0.872 0.628 0.000
0.628 0.128 0.000
0.128 0.372 0.000
0.263 0.763 0.500
0.763 0.737 0.500
0.737 0.237 0.500
0.237 0.263 0.500
0.000 0.000 0.000
0.500 0.500 0.000
```

***

CaMgScPt2: optimized geometry, PBE.

SG: No. 119
DOS(E_F) in states/eV per cell: 2.602
Formation energy in kJ per mole of atoms: -89.5

Cell and atoms, written as POSCAR:
```
CaMgScPt2
1.0
4.275 0.000 0.000
0.000 4.275 0.000
-2.138 -2.138 5.941
Ca Mg Sc Pt
1 1 1 2
direct
0.000 0.000 0.000
0.750 0.250 0.500
0.250 0.750 0.500
0.612 0.612 0.223
0.388 0.388 0.777
```

***

K2BeAg: optimized geometry, PBE.

SG: No. 10
DOS(E_F) in states/eV per cell: 1.642
Formation energy in kJ per mole of atoms: 61.1

Cell and atoms, written as POSCAR:
```
K2BeAg
1.0
4.130 0.000 0.000
0.000 4.099 0.012
0.000 4.095 7.894
Be K Ag
1 2 1
direct
0.500 0.750 0.750
0.000 0.000 0.000
0.000 0.500 0.500
0.500 0.250 0.250
```

***

Which of these has the highest DOS(E_F)?
CsK3Ir